1.
DFT (PBE-GGA) results for an optimized crystal structure of La4Dy7Th.

Output
* density of states at the Fermi level: 1.375 states/eV per atom
* energy above the most stable polymorph in this dataset: 0 meV per atom
* DFT formation energy: 0.016 eV per atom

```
data_La4Dy7Th
_space_group_name_H-M_alt 'P 1'
_space_group_IT_number 1
_space_group_name_Hall 'P 1'
_cell_length_a 3.6217
_cell_length_b 3.6217
_cell_length_c 35.1555
_cell_angle_alpha 90.00
_cell_angle_beta 90.00
_cell_angle_gamma 120.00
loop_
_atom_site_label
_atom_site_fract_x
_atom_site_fract_y
_atom_site_fract_z
_atom_site_occupancy
La1 0.3333 0.6667 0.1657 1
La2 0.3333 0.6667 0.4157 1
La3 0.6667 0.3333 0.5843 1
La4 0.6667 0.3333 0.8343 1
Dy1 0.0000 0.0000 0.2497 1
Dy2 0.0000 0.0000 0.5000 1
Dy3 0.0000 0.0000 0.7503 1
Dy4 0.3333 0.6667 0.6692 1
Dy5 0.3333 0.6667 0.9207 1
Dy6 0.6667 0.3333 0.0793 1
Dy7 0.6667 0.3333 0.3308 1
Th1 0.0000 0.0000 0.0000 1
```

2.
DFT (PBE-GGA) results for an optimized crystal structure of YInAs2Se.

Output
* density of states at the Fermi level: 1.221 states/eV per atom
* energy above the most stable polymorph in this dataset: 315 meV per atom

```
data_YInAs2Se
_space_group_name_H-M_alt 'P 1'
_space_group_IT_number 1
_space_group_name_Hall 'P 1'
_cell_length_a 5.5203
_cell_length_b 5.5203
_cell_length_c 5.7316
_cell_angle_alpha 90.00
_cell_angle_beta 90.00
_cell_angle_gamma 90.00
loop_
_atom_site_label
_atom_site_fract_x
_atom_site_fract_y
_atom_site_fract_z
_atom_site_occupancy
Y1 0.0000 0.0000 0.0000 1
In1 0.5000 0.5000 0.5000 1
As1 0.0000 0.5000 0.5000 1
As2 0.5000 0.0000 0.5000 1
Se1 0.5000 0.5000 0.0000 1
```

3.
DFT (PBE-GGA) results for an optimized crystal structure of Nd2PaP3.

Output
* density of states at the Fermi level: 0.708 states/eV per atom
* energy above the most stable polymorph in this dataset: 0 meV per atom
* DFT formation energy: -1.478 eV per atom

```
data_Nd2PaP3
_space_group_name_H-M_alt 'P 1'
_space_group_IT_number 1
_space_group_name_Hall 'P 1'
_cell_length_a 13.5577
_cell_length_b 12.9273
_cell_length_c 7.0895
_cell_angle_alpha 79.45
_cell_angle_beta 69.62
_cell_angle_gamma 30.94
loop_
_atom_site_label
_atom_site_fract_x
_atom_site_fract_y
_atom_site_fract_z
_atom_site_occupancy
Nd1 0.0429 0.0429 0.2071 1
Nd2 0.1234 0.1234 0.6266 1
Nd3 0.2071 0.2071 0.0429 1
Nd4 0.3734 0.3734 0.8766 1
Nd5 0.6266 0.6266 0.1234 1
Nd6 0.7929 0.7929 0.9571 1
Nd7 0.8766 0.8766 0.3734 1
Nd8 0.9571 0.9571 0.7929 1
Pa1 0.2915 0.2915 0.4585 1
Pa2 0.4585 0.4585 0.2915 1
Pa3 0.5415 0.5415 0.7085 1
Pa4 0.7085 0.7085 0.5415 1
P1 0.0389 0.5388 0.2257 1
P2 0.1395 0.6105 0.6105 1
P3 0.2257 0.6965 0.0389 1
P4 0.3035 0.7743 0.4612 1
P5 0.3895 0.8605 0.8605 1
P6 0.4612 0.9611 0.3035 1
P7 0.5388 0.0389 0.6965 1
P8 0.6105 0.1395 0.1395 1
P9 0.6965 0.2257 0.5388 1
P10 0.7743 0.3035 0.9611 1
P11 0.8605 0.3895 0.3895 1
P12 0.9611 0.4612 0.7743 1
```

4.
DFT (PBE-GGA) results for an optimized crystal structure of Pr4Dy2Tl3O2.

Output
* density of states at the Fermi level: 0.643 states/eV per atom

```
data_Pr4Dy2Tl3O2
_space_group_name_H-M_alt 'P 1'
_space_group_IT_number 1
_space_group_name_Hall 'P 1'
_cell_length_a 13.1461
_cell_length_b 13.1461
_cell_length_c 13.1461
_cell_angle_alpha 158.60
_cell_angle_beta 158.60
_cell_angle_gamma 30.45
loop_
_atom_site_label
_atom_site_fract_x
_atom_site_fract_y
_atom_site_fract_z
_atom_site_occupancy
Pr1 0.0871 0.5871 0.5000 1
Pr2 0.4129 0.9129 0.5000 1
Pr3 0.5871 0.0871 0.5000 1
Pr4 0.9129 0.4129 0.5000 1
Dy1 0.1977 0.1977 0.0000 1
Dy2 0.8023 0.8023 0.0000 1
Tl1 0.3212 0.3212 0.0000 1
Tl2 0.5000 0.5000 0.0000 1
Tl3 0.6788 0.6788 0.0000 1
O1 0.1089 0.1089 0.0000 1
O2 0.8911 0.8911 0.0000 1
```

5.
DFT (PBE-GGA) results for an optimized crystal structure of KPaHgSe4.

```
data_KPaHgSe4
_space_group_name_H-M_alt 'P 1'
_space_group_IT_number 1
_space_group_name_Hall 'P 1'
_cell_length_a 9.2952
_cell_length_b 9.2952
_cell_length_c 9.2952
_cell_angle_alpha 130.33
_cell_angle_beta 125.91
_cell_angle_gamma 76.48
loop_
_atom_site_label
_atom_site_fract_x
_atom_site_fract_y
_atom_site_fract_z
_atom_site_occupancy
K1 0.4128 0.1628 0.2500 1
K2 0.5872 0.8372 0.7500 1
Pa1 0.0000 0.5000 0.5000 1
Pa2 0.5000 0.5000 0.0000 1
Hg1 0.0000 0.0000 0.5000 1
Hg2 0.0000 0.5000 0.0000 1
Se1 0.1626 0.6939 0.4687 1
Se2 0.2515 0.2716 0.5201 1
Se3 0.2515 0.7314 0.9799 1
Se4 0.2748 0.3061 0.9687 1
Se5 0.7252 0.6939 0.0313 1
Se6 0.7485 0.2686 0.0201 1
Se7 0.7485 0.7284 0.4799 1
Se8 0.8374 0.3061 0.5313 1
```

6.
DFT (PBE-GGA) results for an optimized crystal structure of NbSiSeN2.

Output
* density of states at the Fermi level: 0.622 states/eV per atom
* energy above the most stable polymorph in this dataset: 112 meV per atom

```
data_NbSiSeN2
_space_group_name_H-M_alt 'P 1'
_space_group_IT_number 1
_space_group_name_Hall 'P 1'
_cell_length_a 3.6405
_cell_length_b 3.6405
_cell_length_c 4.9553
_cell_angle_alpha 90.00
_cell_angle_beta 90.00
_cell_angle_gamma 90.00
loop_
_atom_site_label
_atom_site_fract_x
_atom_site_fract_y
_atom_site_fract_z
_atom_site_occupancy
Nb1 0.0000 0.0000 0.0000 1
Si1 0.5000 0.5000 0.5000 1
Se1 0.5000 0.5000 0.0000 1
N1 0.0000 0.5000 0.5000 1
N2 0.5000 0.0000 0.5000 1
```

7.
DFT (PBE-GGA) results for an optimized crystal structure of La4Pm7Th.

Output
* density of states at the Fermi level: 1.537 states/eV per atom
* energy above the most stable polymorph in this dataset: 230 meV per atom
* DFT formation energy: 0.248 eV per atom

```
data_La4Pm7Th
_space_group_name_H-M_alt 'P 1'
_space_group_IT_number 1
_space_group_name_Hall 'P 1'
_cell_length_a 6.8645
_cell_length_b 6.8645
_cell_length_c 13.0406
_cell_angle_alpha 114.06
_cell_angle_beta 114.06
_cell_angle_gamma 53.23
loop_
_atom_site_label
_atom_site_fract_x
_atom_site_fract_y
_atom_site_fract_z
_atom_site_occupancy
La1 0.0582 0.0582 0.3309 1
La2 0.3619 0.3619 0.2222 1
La3 0.6381 0.6381 0.7778 1
La4 0.9418 0.9418 0.6691 1
Pm1 0.0000 0.0000 0.0000 1
Pm2 0.2111 0.2111 0.9238 1
Pm3 0.2547 0.2547 0.6873 1
Pm4 0.3648 0.3648 0.4962 1
Pm5 0.6352 0.6352 0.5038 1
Pm6 0.7453 0.7453 0.3127 1
Pm7 0.7889 0.7889 0.0762 1
Th1 0.5000 0.5000 0.0000 1
```

8.
DFT (PBE-GGA) results for an optimized crystal structure of BaAcMnN4.

```
data_BaAcMnN4
_space_group_name_H-M_alt 'P 1'
_space_group_IT_number 1
_space_group_name_Hall 'P 1'
_cell_length_a 6.0618
_cell_length_b 5.6059
_cell_length_c 7.7195
_cell_angle_alpha 90.00
_cell_angle_beta 105.52
_cell_angle_gamma 90.00
loop_
_atom_site_label
_atom_site_fract_x
_atom_site_fract_y
_atom_site_fract_z
_atom_site_occupancy
Ba1 0.2287 0.2500 0.4412 1
Ba2 0.7713 0.7500 0.5588 1
Ac1 0.2623 0.2500 0.9540 1
Ac2 0.7377 0.7500 0.0460 1
Mn1 0.2831 0.7500 0.1974 1
Mn2 0.7169 0.2500 0.8026 1
N1 0.0922 0.7500 0.3257 1
N2 0.1320 0.7500 0.9760 1
N3 0.4561 0.5071 0.2362 1
N4 0.4561 0.9929 0.2362 1
N5 0.5439 0.0071 0.7638 1
N6 0.5439 0.4929 0.7638 1
N7 0.8680 0.2500 0.0240 1
N8 0.9078 0.2500 0.6743 1
```

| no. | DFT total energy (eV/atom) | magnetization (μB per formula unit) |
| --- | --- | --- |
| 1 | -4.93 | 0.0 |
| 2 | -4.06 | 0.0 |
| 3 | -7.35 | 0.0 |
| 4 | -5.29 | 0.0 |
| 5 | -4.50 | 0.0 |
| 6 | -6.54 | 0.6 |
| 7 | -4.78 | 0.0 |
| 8 | -7.67 | 0.0 |